# 1
Tl12In5Bi3, optimized geometry, DFT GGA-PBE; energy of formation = 0.168 eV/atom; density = 8.02 Mg/m³; symmetry = Ia-3d, No. 230
1.0
15.785 0.000 0.000
-5.262 14.882 0.000
-5.262 -7.441 12.888
Bi In Tl
12 20 48
direct
0.750 0.375 0.125
0.875 0.750 0.125
0.375 0.750 0.625
0.250 0.125 0.375
0.875 0.125 0.250
0.375 0.625 0.250
0.625 0.375 0.750
0.125 0.875 0.750
0.750 0.875 0.625
0.625 0.250 0.375
0.125 0.250 0.875
0.250 0.625 0.875
0.125 0.375 0.250
0.000 0.500 0.000
0.000 0.000 0.000
0.375 0.250 0.125
0.500 0.000 0.500
0.500 0.500 0.000
0.125 0.750 0.375
0.750 0.125 0.875
0.750 0.625 0.375
0.375 0.125 0.750
0.625 0.875 0.250
0.500 0.500 0.500
0.500 0.000 0.000
0.000 0.000 0.500
0.250 0.375 0.625
0.250 0.875 0.125
0.000 0.500 0.500
0.875 0.250 0.625
0.625 0.750 0.875
0.875 0.625 0.750
0.726 0.133 0.059
0.333 0.559 0.426
0.941 0.367 0.274
0.559 0.226 0.133
0.593 0.726 0.667
0.941 0.574 0.167
0.333 0.774 0.407
0.074 0.907 0.133
0.574 0.941 0.667
0.726 0.593 0.167
0.774 0.441 0.367
0.833 0.926 0.059
0.133 0.726 0.559
0.367 0.426 0.093
0.093 0.926 0.367
0.407 0.133 0.574
0.093 0.167 0.226
0.441 0.667 0.074
0.833 0.907 0.274
0.133 0.407 0.074
0.367 0.941 0.774
0.574 0.633 0.407
0.926 0.833 0.559
0.774 0.333 0.907
0.426 0.367 0.593
0.074 0.167 0.441
0.226 0.667 0.093
0.167 0.093 0.726
0.633 0.059 0.226
0.867 0.593 0.926
0.559 0.333 0.926
0.593 0.867 0.426
0.907 0.833 0.774
0.907 0.074 0.633
0.867 0.274 0.441
0.167 0.074 0.941
0.633 0.574 0.907
0.426 0.059 0.333
0.274 0.407 0.833
0.226 0.559 0.633
0.926 0.093 0.867
0.667 0.226 0.593
0.441 0.774 0.867
0.059 0.426 0.833
0.407 0.274 0.333
0.059 0.633 0.726
0.667 0.441 0.574
0.274 0.867 0.941



# 2
Ca2ScCr, optimized geometry, DFT GGA-PBE; energy of formation = 0.714 eV/atom; density = 2.50 Mg/m³; symmetry = I-42d, No. 122
1.0
-8.176 0.071 2.648
0.153 -8.564 0.704
-3.030 -3.980 4.698
Sc Cr Ca
2 2 4
direct
0.500 0.500 0.000
0.250 0.750 0.500
0.000 0.000 0.000
0.750 0.250 0.500
0.659 0.125 0.250
0.091 0.625 0.250
0.375 0.341 0.750
0.875 0.909 0.750



Which value of energy of formation does entry 1 give? 0.168 eV/atom



Repeat the first record exactly.
Tl12In5Bi3, optimized geometry, DFT GGA-PBE; energy of formation = 0.168 eV/atom; density = 8.02 Mg/m³; symmetry = Ia-3d, No. 230
1.0
15.785 0.000 0.000
-5.262 14.882 0.000
-5.262 -7.441 12.888
Bi In Tl
12 20 48
direct
0.750 0.375 0.125
0.875 0.750 0.125
0.375 0.750 0.625
0.250 0.125 0.375
0.875 0.125 0.250
0.375 0.625 0.250
0.625 0.375 0.750
0.125 0.875 0.750
0.750 0.875 0.625
0.625 0.250 0.375
0.125 0.250 0.875
0.250 0.625 0.875
0.125 0.375 0.250
0.000 0.500 0.000
0.000 0.000 0.000
0.375 0.250 0.125
0.500 0.000 0.500
0.500 0.500 0.000
0.125 0.750 0.375
0.750 0.125 0.875
0.750 0.625 0.375
0.375 0.125 0.750
0.625 0.875 0.250
0.500 0.500 0.500
0.500 0.000 0.000
0.000 0.000 0.500
0.250 0.375 0.625
0.250 0.875 0.125
0.000 0.500 0.500
0.875 0.250 0.625
0.625 0.750 0.875
0.875 0.625 0.750
0.726 0.133 0.059
0.333 0.559 0.426
0.941 0.367 0.274
0.559 0.226 0.133
0.593 0.726 0.667
0.941 0.574 0.167
0.333 0.774 0.407
0.074 0.907 0.133
0.574 0.941 0.667
0.726 0.593 0.167
0.774 0.441 0.367
0.833 0.926 0.059
0.133 0.726 0.559
0.367 0.426 0.093
0.093 0.926 0.367
0.407 0.133 0.574
0.093 0.167 0.226
0.441 0.667 0.074
0.833 0.907 0.274
0.133 0.407 0.074
0.367 0.941 0.774
0.574 0.633 0.407
0.926 0.833 0.559
0.774 0.333 0.907
0.426 0.367 0.593
0.074 0.167 0.441
0.226 0.667 0.093
0.167 0.093 0.726
0.633 0.059 0.226
0.867 0.593 0.926
0.559 0.333 0.926
0.593 0.867 0.426
0.907 0.833 0.774
0.907 0.074 0.633
0.867 0.274 0.441
0.167 0.074 0.941
0.633 0.574 0.907
0.426 0.059 0.333
0.274 0.407 0.833
0.226 0.559 0.633
0.926 0.093 0.867
0.667 0.226 0.593
0.441 0.774 0.867
0.059 0.426 0.833
0.407 0.274 0.333
0.059 0.633 0.726
0.667 0.441 0.574
0.274 0.867 0.941